Entry 1:
Computed, not measured: an optimized crystal structure of Hf4CoSnN2 at the PBE level of DFT.

Values from the calculation:
**Space group**: P-6m2
**Calculated volume**: 15.365 Å³/atom
**Calculated density**: 12.423 g cm⁻³
**E_tot**: -9.409 eV/atom
**Total magnetization**: 0.04 μB/cell

Unit cell a=3.199 b=3.199 c=13.868 alpha=90.00 beta=90.00 gamma=120.00
Sites, in units of the cell vectors:
Hf1 0.000 0.000 0.138
Hf2 0.000 0.000 0.862
Hf3 0.333 0.667 0.327
Hf4 0.333 0.667 0.673
Co1 0.333 0.667 0.000
Sn1 0.000 0.000 0.500
N1 0.667 0.333 0.233
N2 0.667 0.333 0.767

***

Entry 2:
Computed, not measured: an optimized crystal structure of Hf4Ta2Co3N3 at the PBE level of DFT.

Values from the calculation:
**Space group**: C2/c
**Calculated volume**: 13.578 Å³/atom
**Calculated density**: 13.194 g cm⁻³
**E_tot**: -9.848 eV/atom
**Total magnetization**: 0.05 μB/cell

Unit cell a=5.352 b=5.352 c=13.537 alpha=101.52 beta=101.52 gamma=59.73
Sites, in units of the cell vectors:
Hf1 0.024 0.202 0.094
Hf2 0.139 0.305 0.406
Hf3 0.202 0.024 0.594
Hf4 0.305 0.139 0.906
Hf5 0.695 0.861 0.094
Hf6 0.798 0.976 0.406
Hf7 0.861 0.695 0.594
Hf8 0.976 0.798 0.906
Ta1 0.380 0.545 0.134
Ta2 0.455 0.620 0.366
Ta3 0.545 0.380 0.634
Ta4 0.620 0.455 0.866
Co1 0.065 0.935 0.750
Co2 0.109 0.414 0.750
Co3 0.414 0.109 0.250
Co4 0.586 0.891 0.750
Co5 0.891 0.586 0.250
Co6 0.935 0.065 0.250
N1 0.000 0.500 0.000
N2 0.183 0.658 0.500
N3 0.342 0.817 0.000
N4 0.500 0.000 0.500
N5 0.658 0.183 0.000
N6 0.817 0.342 0.500

***

> The highest total magnetization belongs to which entry?

Hf4Ta2Co3N3